[1]
Material: MnIn6Br12
Method: DFT, PBE-GGA
State: relaxed

```
MnIn6Br12
1.0
9.063 5.232 2.398
-9.063 5.232 2.398
0.000 -10.465 2.398
Mn In Br
1 6 12
Direct
0.000 0.000 0.000 Mn
0.125 0.275 0.361 In
0.275 0.361 0.125 In
0.361 0.125 0.275 In
0.639 0.875 0.725 In
0.725 0.639 0.875 In
0.875 0.725 0.639 In
0.140 0.316 0.833 Br
0.167 0.860 0.684 Br
0.228 0.573 0.352 Br
0.316 0.833 0.140 Br
0.352 0.228 0.573 Br
0.427 0.648 0.772 Br
0.573 0.352 0.228 Br
0.648 0.772 0.427 Br
0.684 0.167 0.860 Br
0.772 0.427 0.648 Br
0.833 0.140 0.316 Br
0.860 0.684 0.167 Br
```

Calculated values
calculated volume	35.903	Å³/atom
energy	-2.871	eV/atom
density	4.1	g/cm3
space-group type	R-3
uncorrected formation energy	-0.467	eV per atom

---

[2]
Material: Mn2InBr5
Method: DFT, PBE-GGA
State: relaxed

```
Mn2InBr5
1.0
2.818 -8.854 0.000
2.818 8.854 0.000
0.000 0.000 13.343
Mn In Br
4 2 10
Direct
0.218 0.782 0.596 Mn
0.218 0.782 0.904 Mn
0.782 0.218 0.096 Mn
0.782 0.218 0.404 Mn
0.040 0.960 0.250 In
0.960 0.040 0.750 In
0.079 0.921 0.594 Br
0.079 0.921 0.906 Br
0.271 0.729 0.082 Br
0.271 0.729 0.418 Br
0.304 0.696 0.750 Br
0.696 0.304 0.250 Br
0.729 0.271 0.582 Br
0.729 0.271 0.918 Br
0.921 0.079 0.094 Br
0.921 0.079 0.406 Br
```

Calculated values
calculated volume	41.611	Å³/atom
energy	-4.356	eV/atom
density	3.1	g/cm3
space-group type	Cmcm
uncorrected formation energy	-0.675	eV per atom

---

[3]
Material: Mn4InBr
Method: DFT, PBE-GGA
State: relaxed

```
Mn4InBr
1.0
0.000 3.863 3.863
3.863 0.000 3.863
3.863 3.863 0.000
Mn In Br
4 1 1
Direct
0.123 0.123 0.123 Mn
0.123 0.123 0.630 Mn
0.123 0.630 0.123 Mn
0.630 0.123 0.123 Mn
0.750 0.750 0.750 In
0.500 0.500 0.500 Br
```

Calculated values
calculated volume	19.210	Å³/atom
energy	-6.253	eV/atom
density	6.0	g/cm3
space-group type	F-43m
uncorrected formation energy	0.595	eV per atom

---

[4]
Material: MnIn2Br8
Method: DFT, PBE-GGA
State: relaxed

```
MnIn2Br8
1.0
9.657 -4.538 0.000
9.657 4.538 0.000
-8.526 0.000 9.960
Mn In Br
2 4 16
Direct
0.002 0.998 0.750 Mn
0.998 0.002 0.250 Mn
0.164 0.671 0.467 In
0.329 0.836 0.033 In
0.671 0.164 0.967 In
0.836 0.329 0.533 In
0.132 0.715 0.801 Br
0.138 0.161 0.511 Br
0.141 0.689 0.270 Br
0.161 0.138 0.011 Br
0.285 0.868 0.699 Br
0.311 0.859 0.230 Br
0.324 0.361 0.445 Br
0.361 0.324 0.945 Br
0.639 0.676 0.055 Br
0.676 0.639 0.555 Br
0.689 0.141 0.770 Br
0.715 0.132 0.301 Br
0.839 0.862 0.989 Br
0.859 0.311 0.730 Br
0.862 0.839 0.489 Br
0.868 0.285 0.199 Br
```

Calculated values
calculated volume	39.684	Å³/atom
energy	-3.327	eV/atom
density	3.5	g/cm3
space-group type	C2/c
uncorrected formation energy	-0.779	eV per atom

---

[5]
Material: MnIn2Br6
Method: DFT, PBE-GGA
State: relaxed

```
MnIn2Br6
1.0
3.679 2.124 6.362
-3.679 2.124 6.362
0.000 -4.248 6.362
Mn In Br
1 2 6
Direct
0.000 0.000 0.000 Mn
0.185 0.185 0.185 In
0.496 0.496 0.496 In
0.042 0.394 0.834 Br
0.239 0.969 0.587 Br
0.394 0.834 0.042 Br
0.587 0.239 0.969 Br
0.834 0.042 0.394 Br
0.969 0.587 0.239 Br
```

Calculated values
calculated volume	33.143	Å³/atom
energy	-3.451	eV/atom
density	4.3	g/cm3
space-group type	R3
uncorrected formation energy	-0.708	eV per atom

---

[6]
Material: MnIn3Br6
Method: DFT, PBE-GGA
State: relaxed

```
MnIn3Br6
1.0
0.000 5.485 7.395
4.203 0.000 7.395
4.203 5.485 0.000
Mn In Br
1 3 6
Direct
0.000 0.000 0.000 Mn
0.250 0.250 0.250 In
0.500 0.500 0.500 In
0.750 0.750 0.750 In
0.099 0.647 0.901 Br
0.240 0.760 0.240 Br
0.353 0.901 0.647 Br
0.647 0.099 0.353 Br
0.760 0.240 0.760 Br
0.901 0.353 0.099 Br
```

Calculated values
calculated volume	34.093	Å³/atom
energy	-3.361	eV/atom
density	4.3	g/cm3
space-group type	Fmmm
uncorrected formation energy	-0.619	eV per atom